(1)
A relaxed structure of Tb3TeIrCl, computed with PBE.

Properties
formation energy without anion corrections = -1.16 eV/atom
crystal system = monoclinic
total DFT energy (no corrections) = -5.787 eV/atom

Cell lengths 8.4308, 4.2067, 9.7715 Å; angles 90.00, 96.05, 90.00 degrees
Closest atoms and distances in Å follow each position.
Element x y z (fractional)
Tb 0.1318 0.2500 0.3228  3 Ir 2.81-2.93
Tb 0.1521 0.2500 0.8959  2 Cl 2.70, 1 Ir 2.79
Tb 0.2987 0.7500 0.6187  2 Ir 2.86, 1 Cl 2.89, 1 Te 3.17
Tb 0.7013 0.2500 0.3813  2 Ir 2.86, 1 Cl 2.89, 1 Te 3.17
Tb 0.8479 0.7500 0.1041  2 Cl 2.70, 1 Ir 2.79
Tb 0.8682 0.7500 0.6772  3 Ir 2.81-2.93
Te 0.4109 0.7500 0.3188  5 Tb 3.16-3.24
Te 0.5891 0.2500 0.6812  5 Tb 3.16-3.24
Ir 0.0681 0.2500 0.6117  6 Tb 2.79-2.93
Ir 0.9319 0.7500 0.3883  6 Tb 2.79-2.93
Cl 0.3544 0.7500 0.9155  3 Tb 2.70-2.89
Cl 0.6456 0.2500 0.0845  3 Tb 2.70-2.89



(2)
A relaxed structure of Tb4Te2IrCl, computed with PBE.

Properties
formation energy without anion corrections = -1.23 eV/atom
crystal system = monoclinic
total DFT energy (no corrections) = -5.667 eV/atom

Cell lengths 7.4007, 4.1353, 7.5865 Å; angles 90.00, 108.24, 90.00 degrees
Closest atoms and distances in Å follow each position.
Element x y z (fractional)
Tb 0.2100 0.0000 0.2071  2 Ir 2.76, 1 Cl 3.03, 1 Te 3.08
Tb 0.2362 0.5000 0.7757  1 Ir 2.80, 2 Cl 2.98, 2 Te 3.07
Tb 0.7638 0.5000 0.2243  1 Ir 2.80, 2 Cl 2.98, 2 Te 3.07
Tb 0.7900 0.0000 0.7929  2 Ir 2.76, 1 Cl 3.03, 1 Te 3.08
Te 0.0000 0.0000 0.5000  6 Tb 3.07-3.08
Te 0.5000 0.5000 0.5000  6 Tb 3.28-3.29
Ir 0.0000 0.5000 0.0000  6 Tb 2.76-2.80
Cl 0.5000 0.0000 0.0000  6 Tb 2.98-3.03



(3)
A relaxed structure of TcIr2Cl, computed with PBE.

Properties
formation energy without anion corrections = 0.91 eV/atom
crystal system = orthorhombic
total DFT energy (no corrections) = -6.573 eV/atom

Cell lengths 4.8709, 4.8709, 2.7471 Å; angles 90.00, 90.00, 112.05 degrees
Closest atoms and distances in Å follow each position.
Element x y z (fractional)
Tc 0.0000 0.0000 0.0000  2 Cl 2.72, 2 Tc 2.75, 8 Ir 2.80
Ir 0.0000 0.5000 0.5000  4 Ir 2.72-2.75, 4 Cl 2.80, 4 Tc 2.80
Ir 0.5000 0.0000 0.5000  4 Ir 2.72-2.75, 4 Cl 2.80, 4 Tc 2.80
Cl 0.5000 0.5000 0.0000  2 Tc 2.72, 2 Cl 2.75, 8 Ir 2.80



(4)
A relaxed structure of TcIr2Cl, computed with PBE.

Properties
formation energy without anion corrections = 0.56 eV/atom
crystal system = orthorhombic
total DFT energy (no corrections) = -6.927 eV/atom

Cell lengths 2.7833, 3.5937, 6.8173 Å; angles 90.00, 90.00, 90.00 degrees
Closest atoms and distances in Å follow each position.
Element x y z (fractional)
Tc 0.0000 0.0000 0.0000  5 Ir 2.62-2.68, 2 Tc 2.78, 4 Cl 2.90
Ir 0.0000 0.0000 0.6072  6 Ir 2.65-2.78, 1 Tc 2.68
Ir 0.5000 0.5000 0.8081  4 Tc 2.62, 6 Ir 2.65-2.78
Cl 0.5000 0.5000 0.2654  2 Cl 2.78, 4 Tc 2.90, 1 Ir 3.12



(5)
A relaxed structure of TcIrCl2, computed with PBE.

Properties
formation energy without anion corrections = 1.15 eV/atom
crystal system = tetragonal
total DFT energy (no corrections) = -4.583 eV/atom

Cell lengths 3.0471, 3.0471, 6.5209 Å; angles 90.00, 90.00, 90.00 degrees
Closest atoms and distances in Å follow each position.
Element x y z (fractional)
Tc 0.0000 0.0000 0.0000  8 Cl 2.62
Ir 0.0000 0.0000 0.5000  8 Cl 2.79, 4 Ir 3.05
Cl 0.5000 0.5000 0.2294  4 Tc 2.62, 4 Ir 2.79
Cl 0.5000 0.5000 0.7706  4 Tc 2.62, 4 Ir 2.79



(6)
A relaxed structure of Tc2IrCl, computed with PBE.

Properties
formation energy without anion corrections = 0.91 eV/atom
crystal system = orthorhombic
total DFT energy (no corrections) = -6.951 eV/atom

Cell lengths 2.8011, 4.6413, 4.6576 Å; angles 90.00, 90.00, 90.00 degrees
Closest atoms and distances in Å follow each position.
Element x y z (fractional)
Tc 0.0000 0.0000 0.0000  4 Cl 2.71, 6 Tc 2.72-2.80
Tc 0.5000 0.0000 0.5000  4 Ir 2.71, 6 Tc 2.72-2.80
Ir 0.0000 0.5000 0.5000  4 Tc 2.71, 4 Cl 2.72, 2 Ir 2.80
Cl 0.5000 0.5000 0.0000  4 Tc 2.71, 4 Ir 2.72, 2 Cl 2.80